--- A ---
# BaTlAsPb (PBE, relaxed)
# Calculated density ... 7.0 Mg/m³
# N(E_F) ... 0.330 states/eV per atom
data_BaTlAsPb
_symmetry_space_group_name_H-M 'C 1 m 1'
_symmetry_Int_Tables_number 8
_cell_length_a 9.3753
_cell_length_b 5.5682
_cell_length_c 5.9543
_cell_angle_alpha 90.00
_cell_angle_beta 106.53
_cell_angle_gamma 90.00
loop_
_symmetry_equiv_pos_as_xyz
'x,y,z'
'x,-y,z'
'x+1/2,y+1/2,z'
'x+1/2,-y+1/2,z'
loop_
_atom_site_label
_atom_site_fract_x
_atom_site_fract_y
_atom_site_fract_z
_atom_site_occupancy
Ba1 0.0000 0.0000 0.0000 1
Tl1 0.2704 0.0000 0.5904 1
As1 0.3614 0.0000 0.1378 1
Pb1 0.0976 0.5000 0.5454 1



--- B ---
# BaTlAsPb (PBE, relaxed)
# Calculated density ... 7.6 Mg/m³
# N(E_F) ... 0.566 states/eV per atom
data_BaTlAsPb
_symmetry_space_group_name_H-M 'C 1 m 1'
_symmetry_Int_Tables_number 8
_cell_length_a 11.5376
_cell_length_b 4.3195
_cell_length_c 5.9056
_cell_angle_alpha 90.00
_cell_angle_beta 111.24
_cell_angle_gamma 90.00
loop_
_symmetry_equiv_pos_as_xyz
'x,y,z'
'x,-y,z'
'x+1/2,y+1/2,z'
'x+1/2,-y+1/2,z'
loop_
_atom_site_label
_atom_site_fract_x
_atom_site_fract_y
_atom_site_fract_z
_atom_site_occupancy
Ba1 0.0000 0.0000 0.0000 1
Tl1 0.1538 0.5000 0.5498 1
As1 0.2666 0.0000 0.8978 1
Pb1 0.3514 0.0000 0.4252 1



--- C ---
# BaTlAsPb (PBE, relaxed)
# Calculated density ... 7.3 Mg/m³
# N(E_F) ... 0.596 states/eV per atom
data_BaTlAsPb
_symmetry_space_group_name_H-M 'P 1'
_symmetry_Int_Tables_number 1
_cell_length_a 4.6722
_cell_length_b 4.6877
_cell_length_c 7.2135
_cell_angle_alpha 108.49
_cell_angle_beta 107.65
_cell_angle_gamma 90.02
loop_
_symmetry_equiv_pos_as_xyz
'x,y,z'
loop_
_atom_site_label
_atom_site_fract_x
_atom_site_fract_y
_atom_site_fract_z
_atom_site_occupancy
Ba1 0.0000 0.0000 0.0000 1
Tl1 0.2409 0.2668 0.5550 1
As1 0.4983 0.4960 0.9896 1
Pb1 0.6724 0.6968 0.4133 1



Q: Which of them is the most stable? A: C.



--- A ---
# BaTlAsPb (PBE, relaxed)
# Calculated density ... 7.7 Mg/m³
# N(E_F) ... 0.284 states/eV per atom
data_BaTlAsPb
_symmetry_space_group_name_H-M 'C 1 m 1'
_symmetry_Int_Tables_number 8
_cell_length_a 11.8044
_cell_length_b 4.2565
_cell_length_c 5.9400
_cell_angle_alpha 90.00
_cell_angle_beta 115.87
_cell_angle_gamma 90.00
loop_
_symmetry_equiv_pos_as_xyz
'x,y,z'
'x,-y,z'
'x+1/2,y+1/2,z'
'x+1/2,-y+1/2,z'
loop_
_atom_site_label
_atom_site_fract_x
_atom_site_fract_y
_atom_site_fract_z
_atom_site_occupancy
Ba1 0.0000 0.0000 0.0000 1
Tl1 0.3094 0.5000 0.3422 1
As1 0.2685 0.0000 0.9332 1
Pb1 0.1096 0.5000 0.6003 1



--- B ---
# BaTlAsPb (PBE, relaxed)
# Calculated density ... 7.7 Mg/m³
# N(E_F) ... 0.568 states/eV per atom
data_BaTlAsPb
_symmetry_space_group_name_H-M 'P 1 m 1'
_symmetry_Int_Tables_number 6
_cell_length_a 5.0856
_cell_length_b 4.2990
_cell_length_c 6.6195
_cell_angle_alpha 90.00
_cell_angle_beta 112.36
_cell_angle_gamma 90.00
loop_
_symmetry_equiv_pos_as_xyz
'x,y,z'
'x,-y,z'
loop_
_atom_site_label
_atom_site_fract_x
_atom_site_fract_y
_atom_site_fract_z
_atom_site_occupancy
Ba1 0.0000 0.0000 0.0000 1
Tl1 0.2835 0.0000 0.5669 1
As1 0.4632 0.5000 0.9248 1
Pb1 0.6942 0.5000 0.3888 1



Q: Which of them is the most stable? A: B.



--- A ---
# Ba3AsPd (PBE, relaxed)
# Calculated density ... 4.7 Mg/m³
# N(E_F) ... 0.588 states/eV per atom
data_Ba3AsPd
_symmetry_space_group_name_H-M 'P m -3 m'
_symmetry_Int_Tables_number 221
_symmetry_space_group_name_Hall '-P 4 2 3'
_cell_length_a 5.9531
_cell_length_b 5.9531
_cell_length_c 5.9531
_cell_angle_alpha 90.00
_cell_angle_beta 90.00
_cell_angle_gamma 90.00
loop_
_atom_site_label
_atom_site_fract_x
_atom_site_fract_y
_atom_site_fract_z
_atom_site_occupancy
Ba1 0.0000 0.0000 0.5000 1
As1 0.5000 0.5000 0.5000 1
Pd1 0.0000 0.0000 0.0000 1



--- B ---
# Ba3AsPd (PBE, relaxed)
# Calculated density ... 5.2 Mg/m³
# N(E_F) ... 0.529 states/eV per atom
data_Ba3AsPd
_symmetry_space_group_name_H-M 'P 1 21/c 1'
_symmetry_Int_Tables_number 14
_cell_length_a 9.7320
_cell_length_b 8.6323
_cell_length_c 9.1819
_cell_angle_alpha 90.00
_cell_angle_beta 99.27
_cell_angle_gamma 90.00
loop_
_symmetry_equiv_pos_as_xyz
'x,y,z'
'-x,-y,-z'
'-x,y+1/2,-z+1/2'
'x,-y+1/2,z+1/2'
loop_
_atom_site_label
_atom_site_fract_x
_atom_site_fract_y
_atom_site_fract_z
_atom_site_occupancy
Ba1 0.0694 0.0005 0.2119 1
Ba2 0.2914 0.1299 0.5938 1
Ba3 0.3687 0.7004 0.4873 1
As1 0.4175 0.0559 0.2705 1
Pd1 0.0519 0.6683 0.0161 1



Q: Which of them is the most stable? A: B.